Entry A
## NiTePN2 (PBE)

Data for an optimized crystal structure of NiTePN2.

Unit cell a=3.6106 b=3.6106 c=7.6119 alpha=90.00 beta=90.00 gamma=90.00
Closest atoms and distances in Å follow each position.
Space group P4/mmm (No. 123)
Unique sites:
Ni  0.0000  0.0000  0.0000 [1 per cell]  4 N 1.81
Te  0.0000  0.0000  0.5000 [1 per cell]  4 P 2.55
P  0.5000  0.5000  0.5000 [1 per cell]  4 Te 2.55
N  0.0000  0.5000  0.0000 [2 per cell]  2 Ni 1.81

volume = 99.23 Å³ per cell


Entry B
## NiTePN2 (PBE)

Data for an optimized crystal structure of NiTePN2.

Unit cell a=3.4065 b=3.4065 c=6.7818 alpha=90.00 beta=90.00 gamma=90.00
Closest atoms and distances in Å follow each position.
Space group P4/mmm (No. 123)
Unique sites:
Ni  0.0000  0.0000  0.0000 [1 per cell]  4 Te 2.41
Te  0.5000  0.5000  0.0000 [1 per cell]  4 Ni 2.41
P  0.5000  0.5000  0.5000 [1 per cell]  4 N 1.70
N  0.0000  0.5000  0.5000 [2 per cell]  2 P 1.70

volume = 78.70 Å³ per cell


The winner here is entry B, beating the second structure by 460 meV/atom.


Entry A
## NiPb2N2 (PBE)

Data for an optimized crystal structure of NiPb2N2.

Unit cell a=6.5600 b=6.5600 c=3.6840 alpha=90.00 beta=90.00 gamma=90.00
Closest atoms and distances in Å follow each position.
Space group P4/mbm (No. 127)
Unique sites:
Ni  0.0000  0.0000  0.0000 [2 per cell]  4 N 2.39
Pb  0.1611  0.3389  0.5000 [4 per cell]  2 N 2.32
N  0.1874  0.6874  0.0000 [4 per cell]  2 Pb 2.32, 2 Ni 2.39

volume = 158.54 Å³ per cell


Entry B
## NiPb2N2 (PBE)

Data for an optimized crystal structure of NiPb2N2.

Unit cell a=5.0723 b=5.0723 c=7.1941 alpha=90.00 beta=90.00 gamma=90.00
Closest atoms and distances in Å follow each position.
Space group I4/mmm (No. 139)
Unique sites:
Ni  0.0000  0.0000  0.0000 [2 per cell]  2 N 3.02, 8 Pb 3.11
Pb  0.0000  0.5000  0.2500 [4 per cell]  4 N 2.81, 4 Ni 3.11
N  0.0000  0.0000  0.4197 [4 per cell]  1 N 1.16

volume = 185.09 Å³ per cell


The winner here is entry B, beating the second structure by 461 meV/atom.


Entry A
## NiPbS2N (PBE)

Data for an optimized crystal structure of NiPbS2N.

Unit cell a=5.2109 b=5.2109 c=4.2831 alpha=90.00 beta=90.00 gamma=90.00
Closest atoms and distances in Å follow each position.
Space group P4/mmm (No. 123)
Unique sites:
Ni  0.0000  0.0000  0.0000 [1 per cell]  8 S 3.37, 4 N 3.68
Pb  0.5000  0.5000  0.5000 [1 per cell]  2 N 2.14
S  0.0000  0.5000  0.5000 [2 per cell]  2 Pb 2.61
N  0.5000  0.5000  0.0000 [1 per cell]  2 Pb 2.14

volume = 116.30 Å³ per cell


Entry B
## NiPbS2N (PBE)

Data for an optimized crystal structure of NiPbS2N.

Unit cell a=4.7669 b=4.7669 c=3.5122 alpha=90.00 beta=90.00 gamma=90.00
Closest atoms and distances in Å follow each position.
Space group P4/mmm (No. 123)
Unique sites:
Ni  0.0000  0.0000  0.0000 [1 per cell]  2 N 1.76
Pb  0.5000  0.5000  0.5000 [1 per cell]  8 S 2.96
S  0.0000  0.5000  0.0000 [2 per cell]  2 Ni 2.38
N  0.0000  0.0000  0.5000 [1 per cell]  2 Ni 1.76

volume = 79.81 Å³ per cell


The winner here is entry B, beating the second structure by 1174 meV/atom.


Entry A
## NiPbSN2 (PBE)

Data for an optimized crystal structure of NiPbSN2.

Unit cell a=4.2647 b=4.2647 c=5.4666 alpha=90.00 beta=90.00 gamma=90.00
Closest atoms and distances in Å follow each position.
Space group P4/mmm (No. 123)
Unique sites:
Ni  0.0000  0.0000  0.0000 [1 per cell]  4 S 3.02
Pb  0.5000  0.5000  0.5000 [1 per cell]  4 N 2.13
S  0.5000  0.5000  0.0000 [1 per cell]  2 Pb 2.73, 4 Ni 3.02
N  0.0000  0.5000  0.5000 [2 per cell]  2 Pb 2.13

volume = 99.42 Å³ per cell


Entry B
## NiPbSN2 (PBE)

Data for an optimized crystal structure of NiPbSN2.

Unit cell a=3.9243 b=3.9243 c=4.8752 alpha=90.00 beta=90.00 gamma=90.00
Closest atoms and distances in Å follow each position.
Space group P4/mmm (No. 123)
Unique sites:
Ni  0.0000  0.0000  0.0000 [1 per cell]  4 N 1.96
Pb  0.5000  0.5000  0.5000 [1 per cell]  4 S 2.77
S  0.0000  0.0000  0.5000 [1 per cell]  2 Ni 2.44
N  0.0000  0.5000  0.0000 [2 per cell]  2 Ni 1.96

volume = 75.08 Å³ per cell


The winner here is entry B, beating the second structure by 1016 meV/atom.